1.
# BaOsRu | the Alexandria database | GGA-PBE | optimized geometry
data_BaOsRu
_chemical_formula_sum 'Ba2 Os2 Ru2'
_cell_length_a 4.7758
_cell_length_b 4.7787
_cell_length_c 10.1287
_cell_angle_alpha 81.20
_cell_angle_beta 88.64
_cell_angle_gamma 66.42
_space_group_name_H-M_alt 'P 1'
_space_group_IT_number 1
_space_group_name_Hall 'P 1'
loop_
_atom_site_label
_atom_site_type_symbol
_atom_site_fract_x
_atom_site_fract_y
_atom_site_fract_z
Ba1 Ba 0.0000 0.0000 0.0000
Ba2 Ba 0.4135 0.2449 0.4268
Os1 Os 0.4587 0.1105 0.7560
Os2 Os 0.9495 0.1404 0.6709
Ru1 Ru 0.4495 0.6426 0.6689
Ru2 Ru 0.9580 0.6081 0.7579
# offset from the most stable computed form	18	kJ/mol of formula units
# magnetic moment	0.00	μB/cell

***

2.
# Y4TeS2 | the Alexandria database | GGA-PBE | optimized geometry
data_Y4TeS2
_chemical_formula_sum 'Y12 Te3 S6'
_cell_length_a 3.9728
_cell_length_b 3.9728
_cell_length_c 39.5409
_cell_angle_alpha 90.00
_cell_angle_beta 90.00
_cell_angle_gamma 120.00
_space_group_name_H-M_alt 'R -3 m'
_space_group_IT_number 166
_space_group_name_Hall '-R 3 2"'
loop_
_atom_site_label
_atom_site_type_symbol
_atom_site_fract_x
_atom_site_fract_y
_atom_site_fract_z
Y1 Y 0.0000 0.0000 0.1296
Y2 Y 0.0000 0.0000 0.2802
Te1 Te 0.0000 0.0000 0.0000
S1 S 0.0000 0.0000 0.4238
# formation energy (no corrections)	-1514	meV/atom
# magnetic moment	0.00	μB/cell